(1)
Compound: K2YCo
Source: the Alexandria database
Functional: GGA-PBE
Structure: relaxed

Unit cell a=3.4823 b=3.4823 c=37.8856 alpha=90.00 beta=90.00 gamma=120.00
Closest atoms and distances in Å follow each position.
Sites, in units of the cell vectors:
K 0.0000 0.0000 0.2368  3 Co 3.33, 6 K 3.48
K 0.0000 0.0000 0.7632  3 Co 3.33, 6 K 3.48
K 0.3333 0.6667 0.4299  3 Co 3.33, 6 K 3.48
K 0.3333 0.6667 0.9035  3 Co 3.33, 6 K 3.48
K 0.6667 0.3333 0.0965  3 Co 3.33, 6 K 3.48
K 0.6667 0.3333 0.5701  3 Co 3.33, 6 K 3.48
Y 0.0000 0.0000 0.0000  6 Y 3.48
Y 0.3333 0.6667 0.6667  6 Y 3.48
Y 0.6667 0.3333 0.3333  6 Y 3.48
Co 0.0000 0.0000 0.5000  6 K 3.33, 6 Co 3.48
Co 0.3333 0.6667 0.1667  6 K 3.33, 6 Co 3.48
Co 0.6667 0.3333 0.8333  6 K 3.33, 6 Co 3.48

Energy relative to the elements: 0.982 eV/atom
Polymorph energy (0 for the lowest one): 624 meV/atom

(2)
Compound: K2YCo
Source: the Alexandria database
Functional: GGA-PBE
Structure: relaxed

Unit cell a=3.6890 b=6.4795 c=12.9112 alpha=90.00 beta=90.00 gamma=90.00
Closest atoms and distances in Å follow each position.
Sites, in units of the cell vectors:
K 0.0000 0.0000 0.0000  4 K 3.69-3.96, 4 Co 3.77, 2 Y 3.91
K 0.0000 0.5000 0.1768  2 Co 3.37, 2 K 3.69
K 0.5000 0.0000 0.6768  2 Co 3.37, 2 K 3.69
K 0.5000 0.5000 0.5000  4 K 3.69-3.96, 4 Co 3.77, 2 Y 3.91
Y 0.0000 0.5000 0.8309  2 Co 2.47
Y 0.5000 0.0000 0.3309  2 Co 2.47
Co 0.0000 0.0000 0.4584  2 Y 2.47
Co 0.5000 0.5000 0.9584  2 Y 2.47

Energy relative to the elements: 0.600 eV/atom
Polymorph energy (0 for the lowest one): 241 meV/atom

(3)
Compound: KY2Co
Source: the Alexandria database
Functional: GGA-PBE
Structure: relaxed

Unit cell a=4.3904 b=4.3904 c=11.0081 alpha=90.00 beta=90.00 gamma=90.00
Closest atoms and distances in Å follow each position.
Sites, in units of the cell vectors:
K 0.0000 0.0000 0.0000  4 Y 3.10
K 0.5000 0.5000 0.5000  4 Y 3.10
Y 0.0000 0.0000 0.5000  4 K 3.10
Y 0.0000 0.5000 0.7500  4 Co 3.10
Y 0.5000 0.0000 0.2500  4 Co 3.10
Y 0.5000 0.5000 0.0000  4 K 3.10
Co 0.0000 0.5000 0.2500  4 Y 3.10
Co 0.5000 0.0000 0.7500  4 Y 3.10

Energy relative to the elements: 0.803 eV/atom

(4)
Compound: KY2Co
Source: the Alexandria database
Functional: GGA-PBE
Structure: relaxed

Unit cell a=3.5415 b=3.6524 c=20.8579 alpha=90.00 beta=90.00 gamma=90.00
Closest atoms and distances in Å follow each position.
Sites, in units of the cell vectors:
K 0.0000 0.0000 0.0000  4 K 3.54-3.65
K 0.5000 0.5000 0.5000  4 K 3.54-3.65
Y 0.0000 0.0000 0.6707  2 Co 2.61
Y 0.0000 0.5000 0.8185  4 Co 2.80
Y 0.5000 0.0000 0.3185  4 Co 2.80
Y 0.5000 0.5000 0.1707  2 Co 2.61
Co 0.0000 0.5000 0.2628  6 Y 2.61-2.80
Co 0.5000 0.0000 0.7628  6 Y 2.61-2.80

Energy relative to the elements: 0.204 eV/atom

(5)
Compound: K2YCo
Source: the Alexandria database
Functional: GGA-PBE
Structure: relaxed

Unit cell a=4.8089 b=4.8089 c=6.1214 alpha=90.00 beta=90.00 gamma=90.00
Closest atoms and distances in Å follow each position.
Sites, in units of the cell vectors:
K 0.0000 0.0000 0.2307  1 K 2.82
K 0.0000 0.0000 0.7693  1 K 2.82
Y 0.5000 0.5000 0.5000  2 Co 3.06
Co 0.5000 0.5000 0.0000  2 Y 3.06

Energy relative to the elements: 1.034 eV/atom
Polymorph energy (0 for the lowest one): 675 meV/atom

(6)
Compound: KYCo2
Source: the Alexandria database
Functional: GGA-PBE
Structure: relaxed

Unit cell a=3.6423 b=3.8264 c=7.5579 alpha=90.00 beta=90.16 gamma=90.00
Closest atoms and distances in Å follow each position.
Sites, in units of the cell vectors:
K 0.0000 0.0000 0.0000  4 K 3.64-3.83, 8 Co 3.76-3.77, 2 Y 3.78
Y 0.0000 0.0000 0.5000  8 Co 2.86
Co 0.4993 0.5000 0.3550  1 Co 2.19
Co 0.5007 0.5000 0.6450  1 Co 2.19

Energy relative to the elements: 0.455 eV/atom
Polymorph energy (0 for the lowest one): 229 meV/atom

(7)
Compound: KY2Co
Source: the Alexandria database
Functional: GGA-PBE
Structure: relaxed

Unit cell a=7.2295 b=7.2530 c=4.0669 alpha=90.00 beta=90.00 gamma=90.00
Closest atoms and distances in Å follow each position.
Sites, in units of the cell vectors:
K 0.0000 0.0000 0.0000  8 Y 3.27, 4 Co 3.61-3.63
K 0.5000 0.5000 0.0000  8 Y 3.27, 4 Co 3.61-3.63
Y 0.2500 0.2500 0.5000  4 K 3.27, 4 Co 3.27, 4 Y 3.61-3.63
Y 0.2500 0.7500 0.5000  4 K 3.27, 4 Co 3.27, 4 Y 3.61-3.63
Y 0.7500 0.2500 0.5000  4 K 3.27, 4 Co 3.27, 4 Y 3.61-3.63
Y 0.7500 0.7500 0.5000  4 Co 3.27, 4 K 3.27, 4 Y 3.61-3.63
Co 0.0000 0.5000 0.0000  8 Y 3.27, 4 K 3.61-3.63
Co 0.5000 0.0000 0.0000  8 Y 3.27, 4 K 3.61-3.63

Energy relative to the elements: 0.773 eV/atom

(8)
Compound: KY2Co
Source: the Alexandria database
Functional: GGA-PBE
Structure: relaxed

Unit cell a=3.8353 b=3.8353 c=9.2312 alpha=90.00 beta=90.00 gamma=90.00
Closest atoms and distances in Å follow each position.
Sites, in units of the cell vectors:
K 0.0000 0.0000 0.0000  1 Y 3.60, 4 K 3.84
Y 0.0000 0.0000 0.6096  4 Co 2.72
Y 0.5000 0.5000 0.3632  1 Co 2.54
Co 0.5000 0.5000 0.6380  5 Y 2.54-2.72

Energy relative to the elements: 0.238 eV/atom

(9)
Compound: K2YCo2
Source: the Alexandria database
Functional: GGA-PBE
Structure: relaxed

Unit cell a=4.2574 b=4.2574 c=14.7757 alpha=90.00 beta=90.00 gamma=90.00
Closest atoms and distances in Å follow each position.
Sites, in units of the cell vectors:
K 0.0000 0.5000 0.2500  4 K 3.01
K 0.0000 0.5000 0.7500  4 K 3.01
K 0.5000 0.0000 0.2500  4 K 3.01
K 0.5000 0.0000 0.7500  4 K 3.01
Y 0.0000 0.0000 0.0000  8 Co 3.19
Y 0.5000 0.5000 0.5000  8 Co 3.19
Co 0.0000 0.0000 0.4294  1 Co 2.09
Co 0.0000 0.0000 0.5706  1 Co 2.09
Co 0.5000 0.5000 0.0706  1 Co 2.09
Co 0.5000 0.5000 0.9294  1 Co 2.09

Energy relative to the elements: 0.757 eV/atom
Polymorph energy (0 for the lowest one): 0 meV/atom

(10)
Compound: K2YCo
Source: the Alexandria database
Functional: GGA-PBE
Structure: relaxed

Unit cell a=7.1037 b=3.8208 c=11.5220 alpha=90.00 beta=97.68 gamma=90.00
Closest atoms and distances in Å follow each position.
Sites, in units of the cell vectors:
K 0.0000 0.0000 0.0000  3 Co 3.20-3.23
K 0.1991 0.0000 0.6317  6 K 3.82-4.03, 1 Y 4.16
K 0.5000 0.5000 0.0000  3 Co 3.20-3.23
K 0.6991 0.5000 0.6317  6 K 3.82-4.03, 1 Y 4.16
Y 0.4289 0.0000 0.3178  3 Co 2.66-2.67
Y 0.9289 0.5000 0.3178  3 Co 2.66-2.67
Co 0.2243 0.5000 0.1986  3 Y 2.66-2.67
Co 0.7243 0.0000 0.1986  3 Y 2.66-2.67

Energy relative to the elements: 0.462 eV/atom
Polymorph energy (0 for the lowest one): 104 meV/atom

(11)
Compound: K2YCo
Source: the Alexandria database
Functional: GGA-PBE
Structure: relaxed

Unit cell a=8.0232 b=8.0232 c=8.0232 alpha=90.00 beta=90.00 gamma=90.00
Closest atoms and distances in Å follow each position.
Sites, in units of the cell vectors:
K 0.2500 0.2500 0.2500  4 Co 3.47, 4 Y 3.47
K 0.2500 0.2500 0.7500  4 Co 3.47, 4 Y 3.47
K 0.2500 0.7500 0.2500  4 Co 3.47, 4 Y 3.47
K 0.2500 0.7500 0.7500  4 Co 3.47, 4 Y 3.47
K 0.7500 0.2500 0.2500  4 Co 3.47, 4 Y 3.47
K 0.7500 0.2500 0.7500  4 Co 3.47, 4 Y 3.47
K 0.7500 0.7500 0.2500  4 Co 3.47, 4 Y 3.47
K 0.7500 0.7500 0.7500  4 Co 3.47, 4 Y 3.47
Y 0.0000 0.0000 0.0000  8 K 3.47
Y 0.0000 0.5000 0.5000  8 K 3.47
Y 0.5000 0.0000 0.5000  8 K 3.47
Y 0.5000 0.5000 0.0000  8 K 3.47
Co 0.0000 0.0000 0.5000  8 K 3.47
Co 0.0000 0.5000 0.0000  8 K 3.47
Co 0.5000 0.0000 0.0000  8 K 3.47
Co 0.5000 0.5000 0.5000  8 K 3.47

Energy relative to the elements: 1.331 eV/atom
Polymorph energy (0 for the lowest one): 973 meV/atom

(12)
Compound: K2YCo
Source: the Alexandria database
Functional: GGA-PBE
Structure: relaxed

Unit cell a=5.5682 b=5.5682 c=7.8566 alpha=90.00 beta=90.00 gamma=90.00
Closest atoms and distances in Å follow each position.
Sites, in units of the cell vectors:
K 0.0000 0.0000 0.0000  4 Co 3.41, 4 K 3.41
K 0.0000 0.5000 0.2500  4 K 3.41, 4 Y 3.41
K 0.5000 0.0000 0.7500  4 K 3.41, 4 Y 3.41
K 0.5000 0.5000 0.5000  4 K 3.41, 4 Co 3.41
Y 0.0000 0.0000 0.5000  4 K 3.41, 4 Co 3.41
Y 0.5000 0.5000 0.0000  4 K 3.41, 4 Co 3.41
Co 0.0000 0.5000 0.7500  4 K 3.41, 4 Y 3.41
Co 0.5000 0.0000 0.2500  4 K 3.41, 4 Y 3.41

Energy relative to the elements: 0.933 eV/atom
Polymorph energy (0 for the lowest one): 574 meV/atom

(13)
Compound: KY2Co
Source: the Alexandria database
Functional: GGA-PBE
Structure: relaxed

Unit cell a=3.6821 b=6.4226 c=10.4454 alpha=90.00 beta=90.00 gamma=90.00
Closest atoms and distances in Å follow each position.
Sites, in units of the cell vectors:
K 0.0000 0.0000 0.0000  2 K 3.68, 8 Y 3.69-3.87, 4 Co 3.70
K 0.5000 0.5000 0.5000  2 K 3.68, 8 Y 3.69-3.87, 4 Co 3.70
Y 0.0000 0.5000 0.1741  2 Co 2.59
Y 0.0000 0.5000 0.8259  2 Co 2.59
Y 0.5000 0.0000 0.3259  2 Co 2.59
Y 0.5000 0.0000 0.6741  2 Co 2.59
Co 0.0000 0.0000 0.5000  4 Y 2.59
Co 0.5000 0.5000 0.0000  4 Y 2.59

Energy relative to the elements: 0.357 eV/atom

(14)
Compound: KY2Co
Source: the Alexandria database
Functional: GGA-PBE
Structure: relaxed

Unit cell a=6.8768 b=3.9681 c=10.4338 alpha=90.00 beta=102.45 gamma=90.00
Closest atoms and distances in Å follow each position.
Sites, in units of the cell vectors:
K 0.0000 0.0000 0.0000  6 K 3.97, 6 Y 4.33-4.38
K 0.5000 0.5000 0.0000  6 K 3.97, 6 Y 4.33-4.38
Y 0.2102 0.0000 0.6373  3 Co 2.68
Y 0.4544 0.0000 0.3654  3 Co 2.68
Y 0.7102 0.5000 0.6373  3 Co 2.68
Y 0.9544 0.5000 0.3654  3 Co 2.68
Co 0.3323 0.5000 0.5014  6 Y 2.68
Co 0.8323 0.0000 0.5014  6 Y 2.68

Energy relative to the elements: 0.045 eV/atom

(15)
Compound: KY2Co
Source: the Alexandria database
Functional: GGA-PBE
Structure: relaxed

Unit cell a=7.5987 b=7.5987 c=7.5987 alpha=90.00 beta=90.00 gamma=90.00
Closest atoms and distances in Å follow each position.
Sites, in units of the cell vectors:
K 0.0000 0.0000 0.0000  4 Y 3.29, 4 Co 3.29
K 0.0000 0.5000 0.5000  4 Y 3.29, 4 Co 3.29
K 0.5000 0.0000 0.5000  4 Y 3.29, 4 Co 3.29
K 0.5000 0.5000 0.0000  4 Y 3.29, 4 Co 3.29
Y 0.0000 0.0000 0.5000  4 Co 3.29, 4 Y 3.29
Y 0.0000 0.5000 0.0000  4 Co 3.29, 4 Y 3.29
Y 0.2500 0.2500 0.2500  4 Y 3.29, 4 K 3.29
Y 0.2500 0.7500 0.7500  4 K 3.29, 4 Y 3.29
Y 0.5000 0.0000 0.0000  4 Co 3.29, 4 Y 3.29
Y 0.5000 0.5000 0.5000  4 Co 3.29, 4 Y 3.29
Y 0.7500 0.2500 0.7500  4 K 3.29, 4 Y 3.29
Y 0.7500 0.7500 0.2500  4 K 3.29, 4 Y 3.29
Co 0.2500 0.2500 0.7500  4 K 3.29, 4 Y 3.29
Co 0.2500 0.7500 0.2500  4 K 3.29, 4 Y 3.29
Co 0.7500 0.2500 0.2500  4 K 3.29, 4 Y 3.29
Co 0.7500 0.7500 0.7500  4 K 3.29, 4 Y 3.29

Energy relative to the elements: 0.933 eV/atom